{
  "formula": "HfCrIO2",
  "functional": "PBE+U",
  "state": "optimized geometry",
  "lattice": [[4.046, 0.000, 0.000], [0.000, 4.046, 0.000], [0.000, 0.000, 5.148]],
  "species": ["O", "O", "I", "Cr", "Hf"],
  "fractional_positions": [[0.500, 0.000, 0.000], [0.000, 0.500, 0.000], [0.000, 0.000, 0.500], [0.000, 0.000, 0.000], [0.500, 0.500, 0.500]],
  "spacegroup": "P4/mmm",
  "de_polymorph_kj_per_mol_atoms": 124.7,
  "total_energy_ev_per_atom": -6.068,
  "density_g_cm3": 7.67
}